# 1
Crystalline SrAlI5 at its relaxed geometry, computed with GGA-PBE.

## Properties
- E (eV/atom) = -2.942
- energy relative to the elements, uncorrected (kJ/mol of formula units) = -716
- density (Mg/m³) = 3.41
- total moment (μB per formula unit) = 0.00
- volume (Å³/cell) = 1460
- density of states at the Fermi level (states/eV/cell) = 0.000

a = 12.1058 Å, b = 11.6446 Å, c = 11.7898 Å
α = 90.00°, β = 118.51°, γ = 90.00°
With the nearest neighbours (Å) after each atom.
Space group C2/c (No. 15)
Symmetry-distinct sites (fractional):
Sr 0.0000 0.0000 0.0000 (multiplicity 4)  6 I 3.18-3.41
Al 0.0000 0.3993 0.2500 (multiplicity 4)  4 I 2.57-2.58
I 0.0000 0.1036 0.7500 (multiplicity 4)  2 Sr 3.18
I 0.0120 0.2856 0.4420 (multiplicity 8)  1 Al 2.57
I 0.1862 0.4589 0.8335 (multiplicity 8)  1 Al 2.58

# 2
Crystalline Ti2AlTlCr at its relaxed geometry, computed with GGA-PBE.

## Properties
- E (eV/atom) = -5.857
- formation enthalpy at 0 K (eV/atom) = 0.45
- density (Mg/m³) = 6.47
- total moment (μB per formula unit) = 0.00
- volume (Å³/cell) = 97
- density of states at the Fermi level (states/eV/cell) = 5.673

a = 4.5133 Å, b = 4.5133 Å, c = 4.7765 Å
α = 90.00°, β = 90.00°, γ = 90.00°
With the nearest neighbours (Å) after each atom.
Space group P4/mmm (No. 123)
Symmetry-distinct sites (fractional):
Ti 0.0000 0.5000 0.0000 (multiplicity 2)  2 Cr 2.26
Al 0.0000 0.0000 0.5000 (multiplicity 1)  2 Cr 2.39
Tl 0.5000 0.5000 0.5000 (multiplicity 1)  4 Al 3.19, 8 Ti 3.29
Cr 0.0000 0.0000 0.0000 (multiplicity 1)  4 Ti 2.26, 2 Al 2.39

# 3
Crystalline Ca2LaRu at its relaxed geometry, computed with GGA-PBE.

## Properties
- E (eV/atom) = -4.269
- formation enthalpy at 0 K (eV/atom) = 0.28
- density (Mg/m³) = 4.75
- E above lowest polymorph (eV per formula unit) = 1.740
- total moment (μB per formula unit) = 0.00
- volume (Å³/cell) = 112
- density of states at the Fermi level (states/eV/cell) = 3.112

a = 3.8000 Å, b = 5.0210 Å, c = 6.0905 Å
α = 90.00°, β = 105.70°, γ = 90.00°
With the nearest neighbours (Å) after each atom.
Space group P2/m (No. 10)
Symmetry-distinct sites (fractional):
Ca 0.1348 0.0000 0.2895 (multiplicity 2)  2 Ru 2.98, 2 Ca 3.01-3.23
La 0.5000 0.5000 0.0000 (multiplicity 1)  2 Ru 3.05
Ru 0.5000 0.5000 0.5000 (multiplicity 1)  4 Ca 2.98, 2 La 3.05

# 4
Crystalline CeNd3Tl4S8 at its relaxed geometry, computed with GGA-PBE.

## Properties
- E (eV/atom) = -5.359
- energy relative to the elements, uncorrected (kJ/mol of formula units) = -2221
- density (Mg/m³) = 6.00
- total moment (μB per formula unit) = 1.01
- volume (Å³/cell) = 1368
- density of states at the Fermi level (states/eV/cell) = 17.324

a = 8.3822 Å, b = 8.3822 Å, c = 22.4767 Å
α = 90.00°, β = 90.00°, γ = 120.00°
With the nearest neighbours (Å) after each atom.
Space group R-3m (No. 166, hexagonal axes)
Symmetry-distinct sites (fractional):
Ce 0.0000 0.0000 0.0000 (multiplicity 3)  6 S 2.86
Nd 0.0000 0.5000 0.0000 (multiplicity 9)  6 S 2.86
Tl 0.0000 0.0000 0.5000 (multiplicity 3)  6 S 3.29
Tl 0.0000 0.5000 0.5000 (multiplicity 9)  6 S 3.28
S 0.0000 0.0000 0.2653 (multiplicity 6)  3 Nd 2.86
S 0.9996 0.4998 0.2655 (multiplicity 18)  1 Ce 2.86, 2 Nd 2.86